Record 1
The following is a DFT calculation (SCAN) of a crystal of TlGaSe2 relaxed with PBEsol.

Unit cell a=10.716 b=10.710 c=15.481 alpha=90.00 beta=100.47 gamma=90.00
Space group C2/c (No. 15)
One atom of each set of equivalent atoms:
Tl 0.056 0.213 0.393 [8 per cell]
Tl 0.230 0.429 0.119 [8 per cell]
Ga 0.100 0.184 0.662 [8 per cell]
Ga 0.148 0.432 0.840 [8 per cell]
Se 0.000 0.040 0.750 [4 per cell]
Se 0.000 0.432 0.250 [4 per cell]
Se 0.059 0.297 0.937 [8 per cell]
Se 0.211 0.070 0.565 [8 per cell]
Se 0.237 0.191 0.249 [8 per cell]

---

Record 2
The following is a DFT calculation (SCAN) of a crystal of TlGaSe2 relaxed with PBEsol.

Unit cell a=7.933 b=7.933 c=6.385 alpha=90.00 beta=90.00 gamma=90.00
Space group I4/mcm (No. 140)
One atom of each set of equivalent atoms:
Tl 0.000 0.000 0.250 [4 per cell]
Ga 0.000 0.500 0.250 [4 per cell]
Se 0.164 0.336 0.000 [8 per cell]

---

Record 3
The following is a DFT calculation (SCAN) of a crystal of TlGaSe2 relaxed with PBEsol.

Unit cell a=7.262 b=7.262 c=8.190 alpha=90.00 beta=90.00 gamma=90.00
Space group I-42d (No. 122)
One atom of each set of equivalent atoms:
Tl 0.000 0.000 0.000 [4 per cell]
Ga 0.000 0.000 0.500 [4 per cell]
Se 0.167 0.750 0.625 [8 per cell]

---

| no. | electronic total energy (eV/atom) | energy relative to the lowest polymorph listed for this composition (eV/f.u.) | formation energy from raw total energies (eV/atom) |
| --- | --- | --- | --- |
| 1 | -32.84 | 0.00 | -0.63 |
| 2 | -32.83 | 0.06 | -0.62 |
| 3 | -32.79 | 0.21 | -0.58 |